# Na2ZnAgF6

A relaxed Na2ZnAgF6 crystal (GGA-PBE, the Alexandria database).

Its total energy is -0.289 Ry/atom. The size of the total moment comes out at 1.0 μB/cell. The formation energy (no corrections) is -2.132 eV per atom.

It has space group P1 (No. 1), with a = 5.569 Å, b = 5.746 Å, c = 5.841 Å, α = 62.33°, β = 89.98° and γ = 61.81°. The asymmetric unit holds Na at (0.000, 0.000, 0.000), Na at (0.500, 0.004, 0.495), Zn at (0.789, 0.433, 0.365), Ag at (0.284, 0.437, 0.862), F at (0.056, 0.290, 0.145), F at (0.160, 0.281, 0.642), F at (0.425, 0.532, 0.138), F at (0.567, 0.528, 0.640), F at (0.695, 0.862, 0.183) and F at (0.888, 0.999, 0.611).

# NaZnAg2F8

A relaxed NaZnAg2F8 crystal (GGA-PBE, the Alexandria database).

Its total energy is -0.257 Ry/atom. The size of the total moment comes out at 6.1 μB/cell. The formation energy (no corrections) is -1.560 eV per atom.

It has space group I-4 (No. 82), with a = 5.386 Å, b = 5.386 Å, c = 10.869 Å, α = 90.00°, β = 90.00° and γ = 90.00°. The asymmetric unit holds Na at (0.000, 0.000, 0.000), Zn at (0.000, 0.500, 0.250), Ag at (0.000, 0.000, 0.500), Ag at (0.000, 0.500, 0.750), F at (0.197, 0.718, 0.611) and F at (0.208, 0.715, 0.356).

# NaZnAg2F6

A relaxed NaZnAg2F6 crystal (GGA-PBE, the Alexandria database).

Its total energy is -0.274 Ry/atom. The size of the total moment comes out at 2.0 μB/cell. The formation energy (no corrections) is -1.778 eV per atom.

It has space group P2_1/c (No. 14), with a = 5.574 Å, b = 5.931 Å, c = 10.031 Å, α = 90.00°, β = 123.24° and γ = 90.00°. The asymmetric unit holds Na at (0.000, 0.000, 0.000), Zn at (0.500, 0.000, 0.500), Ag at (0.204, 0.074, 0.726), F at (0.152, 0.189, 0.439), F at (0.227, 0.727, 0.408) and F at (0.422, 0.086, 0.270).

# NaZnAgF6

A relaxed NaZnAgF6 crystal (GGA-PBE, the Alexandria database).

Its total energy is -0.271 Ry/atom. The size of the total moment comes out at 4.0 μB/cell. The formation energy (no corrections) is -1.835 eV per atom.

It has space group P-31c (No. 163), with a = 5.5361 Å, b = 5.5361 Å, c = 9.7062 Å, α = 90.00°, β = 90.00° and γ = 120.00°. The asymmetric unit holds Na at (0.0000, 0.0000, 0.0000), Zn at (0.3333, 0.6667, 0.2500), Ag at (0.3333, 0.6667, 0.7500) and F at (0.0087, 0.3603, 0.1369).

# Na2ZrAgF8

A relaxed Na2ZrAgF8 crystal (GGA-PBE, the Alexandria database).

Its total energy is -0.381 Ry/atom. The size of the total moment comes out at 1.0 μB/cell. The formation energy (no corrections) is -2.761 eV per atom.

It has space group P2/m (No. 10), with a = 5.076 Å, b = 7.144 Å, c = 5.174 Å, α = 90.00°, β = 92.75° and γ = 90.00°. The asymmetric unit holds Na at (0.000, 0.246, 0.000), Zr at (0.500, 0.500, 0.500), Ag at (0.500, 0.000, 0.500), F at (0.213, 0.000, 0.210), F at (0.214, 0.500, 0.211) and F at (0.310, 0.287, 0.683).

# NaZrAg2F8

A relaxed NaZrAg2F8 crystal (GGA-PBE, the Alexandria database).

Its total energy is -0.364 Ry/atom. The size of the total moment comes out at 1.0 μB/cell. The formation energy (no corrections) is -2.407 eV per atom.

It has space group Pmmm (No. 47), with a = 3.866 Å, b = 5.647 Å, c = 7.830 Å, α = 90.00°, β = 90.00° and γ = 90.00°. The asymmetric unit holds Na at (0.000, 0.000, 0.000), Zr at (0.000, 0.000, 0.500), Ag at (0.500, 0.500, 0.228), F at (0.000, 0.228, 0.291), F at (0.500, 0.208, 0.500) and F at (0.500, 0.260, 0.000).

# NbAgF5

A relaxed NbAgF5 crystal (GGA-PBE, the Alexandria database).

Its total energy is -0.409 Ry/atom. The size of the total moment comes out at 4.0 μB/cell. The formation energy (no corrections) is -2.380 eV per atom.

It has space group C2/c (No. 15), with a = 9.328 Å, b = 6.984 Å, c = 8.241 Å, α = 90.00°, β = 112.99° and γ = 90.00°. The asymmetric unit holds Nb at (0.000, 0.000, 0.000), Ag at (0.000, 0.496, 0.250), F at (0.000, 0.010, 0.250), F at (0.033, 0.283, 0.006) and F at (0.226, 0.047, 0.604).

# Nb2AgF11

A relaxed Nb2AgF11 crystal (GGA-PBE, the Alexandria database).

Its total energy is -0.429 Ry/atom. The size of the total moment comes out at 0.4 μB/cell. The formation energy (no corrections) is -2.723 eV per atom.

It has space group Ibam (No. 72), with a = 8.116 Å, b = 10.320 Å, c = 10.911 Å, α = 90.00°, β = 90.00° and γ = 90.00°. The asymmetric unit holds Nb at (0.107, 0.186, 0.000), Ag at (0.000, 0.500, 0.250), F at (0.000, 0.000, 0.000), F at (0.096, 0.323, 0.121), F at (0.134, 0.208, 0.500) and F at (0.231, 0.101, 0.126).

Look up the formation energy (no corrections) of the seventh one. -2.380 eV per atom